Record 1
Below is PBrCl2 after structural relaxation, with properties calculated at the PBE level.

CIF file:
```
data_PBrCl2
_chemical_formula_sum 'P2 Br2 Cl4'
_cell_length_a 4.7857
_cell_length_b 10.5755
_cell_length_c 7.3218
_cell_angle_alpha 90.00
_cell_angle_beta 90.00
_cell_angle_gamma 90.00
_space_group_name_H-M_alt 'I m m 2'
_space_group_IT_number 44
loop_
_space_group_symop_operation_xyz
'x,y,z'
'-x,-y,z'
'-x,y,z'
'x,-y,z'
'x+1/2,y+1/2,z+1/2'
'-x+1/2,-y+1/2,z+1/2'
'-x+1/2,y+1/2,z+1/2'
'x+1/2,-y+1/2,z+1/2'
loop_
_atom_site_label
_atom_site_fract_x
_atom_site_fract_y
_atom_site_fract_z
P1 0.0000 0.0000 0.0000
Br1 0.0000 0.0000 0.6802
Cl1 0.0000 0.1627 0.1582
```

Results
As for the size of the total moment: 0.5054 μB per atom. As for the uncorrected formation energy: -0.09 eV per atom. The excess energy over the best structure of this formula in the dataset comes out at 332 meV per atom.


Record 2
Below is PBr2Cl after structural relaxation, with properties calculated at the PBE level.

CIF file:
```
data_PBr2Cl
_chemical_formula_sum 'P1 Br2 Cl1'
_cell_length_a 3.4210
_cell_length_b 3.5050
_cell_length_c 9.1757
_cell_angle_alpha 90.00
_cell_angle_beta 90.10
_cell_angle_gamma 90.00
_space_group_name_H-M_alt 'P 1 2/m 1'
_space_group_IT_number 10
loop_
_space_group_symop_operation_xyz
'x,y,z'
'-x,-y,-z'
'-x,y,-z'
'x,-y,z'
loop_
_atom_site_label
_atom_site_fract_x
_atom_site_fract_y
_atom_site_fract_z
P1 0.0000 0.0000 0.0000
Br1 0.0020 0.5000 0.1958
Cl1 0.5000 0.0000 0.5000
```

Results
As for the size of the total moment: 0.1824 μB per atom. As for the uncorrected formation energy: 0.25 eV per atom. The excess energy over the best structure of this formula in the dataset comes out at 715 meV per atom.


Record 3
Below is PBrCl2 after structural relaxation, with properties calculated at the PBE level.

CIF file:
```
data_PBrCl2
_chemical_formula_sum 'P4 Br4 Cl8'
_cell_length_a 6.8373
_cell_length_b 6.8373
_cell_length_c 6.8373
_cell_angle_alpha 90.00
_cell_angle_beta 90.00
_cell_angle_gamma 90.00
_space_group_name_H-M_alt 'F -4 3 m'
_space_group_IT_number 216
_space_group_name_Hall 'F -4 2 3'
loop_
_atom_site_label
_atom_site_fract_x
_atom_site_fract_y
_atom_site_fract_z
P1 0.0000 0.0000 0.0000
Br1 0.2500 0.2500 0.7500
Cl1 0.0000 0.0000 0.5000
Cl2 0.2500 0.2500 0.2500
```

Results
As for the size of the total moment: 0.0000 μB per atom. As for the uncorrected formation energy: 0.65 eV per atom. The excess energy over the best structure of this formula in the dataset comes out at 1068 meV per atom.


Record 4
Below is PBrCl after structural relaxation, with properties calculated at the PBE level.

CIF file:
```
data_PBrCl
_chemical_formula_sum 'P2 Br2 Cl2'
_cell_length_a 5.6113
_cell_length_b 6.3622
_cell_length_c 7.2921
_cell_angle_alpha 64.22
_cell_angle_beta 87.09
_cell_angle_gamma 84.46
_space_group_name_H-M_alt 'P 1'
_space_group_IT_number 1
loop_
_space_group_symop_operation_xyz
'x,y,z'
loop_
_atom_site_label
_atom_site_fract_x
_atom_site_fract_y
_atom_site_fract_z
P1 0.0000 0.0000 0.0000
P2 0.4092 0.9562 0.9990
Br1 0.9747 0.0793 0.2724
Br2 0.9791 0.3578 0.7371
Cl1 0.4363 0.6243 0.2385
Cl2 0.4406 0.8797 0.7497
```

Results
As for the size of the total moment: 0.0000 μB per atom. As for the uncorrected formation energy: -0.44 eV per atom. The excess energy over the best structure of this formula in the dataset comes out at 0 meV per atom.


Record 5
Below is PBrCl2 after structural relaxation, with properties calculated at the PBE level.

CIF file:
```
data_PBrCl2
_chemical_formula_sum 'P1 Br1 Cl2'
_cell_length_a 6.4945
_cell_length_b 3.6407
_cell_length_c 7.0719
_cell_angle_alpha 90.00
_cell_angle_beta 110.82
_cell_angle_gamma 90.00
_space_group_name_H-M_alt 'P 1 m 1'
_space_group_IT_number 6
loop_
_space_group_symop_operation_xyz
'x,y,z'
'x,-y,z'
loop_
_atom_site_label
_atom_site_fract_x
_atom_site_fract_y
_atom_site_fract_z
P1 0.0000 0.0000 0.0000
Br1 0.1074 0.5000 0.7886
Cl1 0.2967 0.0000 0.2311
Cl2 0.8459 0.5000 0.1475
```

Results
As for the size of the total moment: 0.0000 μB per atom. As for the uncorrected formation energy: -0.42 eV per atom. The excess energy over the best structure of this formula in the dataset comes out at 0 meV per atom.


Record 6
Below is PBrCl after structural relaxation, with properties calculated at the PBE level.

CIF file:
```
data_PBrCl
_chemical_formula_sum 'P4 Br4 Cl4'
_cell_length_a 6.7662
_cell_length_b 6.7662
_cell_length_c 6.7662
_cell_angle_alpha 90.00
_cell_angle_beta 90.00
_cell_angle_gamma 90.00
_space_group_name_H-M_alt 'F -4 3 m'
_space_group_IT_number 216
_space_group_name_Hall 'F -4 2 3'
loop_
_atom_site_label
_atom_site_fract_x
_atom_site_fract_y
_atom_site_fract_z
P1 0.0000 0.0000 0.0000
Br1 0.2500 0.2500 0.7500
Cl1 0.0000 0.0000 0.5000
```

Results
As for the size of the total moment: 0.2059 μB per atom. As for the uncorrected formation energy: 1.00 eV per atom. The excess energy over the best structure of this formula in the dataset comes out at 1447 meV per atom.


Record 7
Below is PBr2Cl after structural relaxation, with properties calculated at the PBE level.

CIF file:
```
data_PBr2Cl
_chemical_formula_sum 'P1 Br2 Cl1'
_cell_length_a 6.7592
_cell_length_b 3.6691
_cell_length_c 6.7660
_cell_angle_alpha 90.00
_cell_angle_beta 112.12
_cell_angle_gamma 90.00
_space_group_name_H-M_alt 'P 1 m 1'
_space_group_IT_number 6
loop_
_space_group_symop_operation_xyz
'x,y,z'
'x,-y,z'
loop_
_atom_site_label
_atom_site_fract_x
_atom_site_fract_y
_atom_site_fract_z
P1 0.0000 0.0000 0.0000
Br1 0.2323 0.5000 0.2595
Br2 0.7422 0.0000 0.1269
Cl1 0.8436 0.5000 0.7404
```

Results
As for the size of the total moment: 0.0000 μB per atom. As for the uncorrected formation energy: -0.30 eV per atom. The excess energy over the best structure of this formula in the dataset comes out at 172 meV per atom.


Record 8
Below is PBr2Cl after structural relaxation, with properties calculated at the PBE level.

CIF file:
```
data_PBr2Cl
_chemical_formula_sum 'P2 Br4 Cl2'
_cell_length_a 3.3369
_cell_length_b 6.0820
_cell_length_c 11.8282
_cell_angle_alpha 90.00
_cell_angle_beta 90.00
_cell_angle_gamma 90.00
_space_group_name_H-M_alt 'I m m 2'
_space_group_IT_number 44
loop_
_space_group_symop_operation_xyz
'x,y,z'
'-x,-y,z'
'-x,y,z'
'x,-y,z'
'x+1/2,y+1/2,z+1/2'
'-x+1/2,-y+1/2,z+1/2'
'-x+1/2,y+1/2,z+1/2'
'x+1/2,-y+1/2,z+1/2'
loop_
_atom_site_label
_atom_site_fract_x
_atom_site_fract_y
_atom_site_fract_z
P1 0.0000 0.0000 0.0000
Br1 0.0000 0.0000 0.4963
Br2 0.0000 0.5000 0.6577
Cl1 0.0000 0.5000 0.3545
```

Results
As for the size of the total moment: 0.0000 μB per atom. As for the uncorrected formation energy: 0.14 eV per atom. The excess energy over the best structure of this formula in the dataset comes out at 604 meV per atom.


Record 9
Below is PBrCl2 after structural relaxation, with properties calculated at the PBE level.

CIF file:
```
data_PBrCl2
_chemical_formula_sum 'P2 Br2 Cl4'
_cell_length_a 13.0250
_cell_length_b 3.5994
_cell_length_c 6.7819
_cell_angle_alpha 90.00
_cell_angle_beta 115.73
_cell_angle_gamma 90.00
_space_group_name_H-M_alt 'C 1 m 1'
_space_group_IT_number 8
loop_
_space_group_symop_operation_xyz
'x,y,z'
'x,-y,z'
'x+1/2,y+1/2,z'
'x+1/2,-y+1/2,z'
loop_
_atom_site_label
_atom_site_fract_x
_atom_site_fract_y
_atom_site_fract_z
P1 0.0000 0.0000 0.0000
Br1 0.3661 0.5000 0.1176
Cl1 0.1136 0.5000 0.2521
Cl2 0.4120 0.0000 0.7292
```

Results
As for the size of the total moment: 0.0000 μB per atom. As for the uncorrected formation energy: -0.36 eV per atom. The excess energy over the best structure of this formula in the dataset comes out at 55 meV per atom.


Record 10
Below is PBr2Cl after structural relaxation, with properties calculated at the PBE level.

CIF file:
```
data_PBr2Cl
_chemical_formula_sum 'P2 Br4 Cl2'
_cell_length_a 3.4200
_cell_length_b 5.1565
_cell_length_c 13.7034
_cell_angle_alpha 90.00
_cell_angle_beta 90.00
_cell_angle_gamma 90.00
_space_group_name_H-M_alt 'I m m m'
_space_group_IT_number 71
_space_group_name_Hall '-I 2 2'
loop_
_atom_site_label
_atom_site_fract_x
_atom_site_fract_y
_atom_site_fract_z
P1 0.0000 0.0000 0.0000
Br1 0.0000 0.5000 0.3594
Cl1 0.0000 0.0000 0.5000
```

Results
As for the size of the total moment: 0.0000 μB per atom. As for the uncorrected formation energy: 0.18 eV per atom. The excess energy over the best structure of this formula in the dataset comes out at 647 meV per atom.


Record 11
Below is P4BrCl after structural relaxation, with properties calculated at the PBE level.

CIF file:
```
data_P4BrCl
_chemical_formula_sum 'P16 Br4 Cl4'
_cell_length_a 8.3624
_cell_length_b 8.3624
_cell_length_c 8.3624
_cell_angle_alpha 90.00
_cell_angle_beta 90.00
_cell_angle_gamma 90.00
_space_group_name_H-M_alt 'F -4 3 m'
_space_group_IT_number 216
_space_group_name_Hall 'F -4 2 3'
loop_
_atom_site_label
_atom_site_fract_x
_atom_site_fract_y
_atom_site_fract_z
P1 0.0940 0.0940 0.0940
Br1 0.0000 0.0000 0.5000
Cl1 0.2500 0.2500 0.7500
```

Results
As for the size of the total moment: 0.2215 μB per atom. As for the uncorrected formation energy: 0.35 eV per atom.


Record 12
Below is PBr2Cl after structural relaxation, with properties calculated at the PBE level.

CIF file:
```
data_PBr2Cl
_chemical_formula_sum 'P2 Br4 Cl2'
_cell_length_a 3.5224
_cell_length_b 10.6785
_cell_length_c 9.0181
_cell_angle_alpha 90.00
_cell_angle_beta 90.00
_cell_angle_gamma 90.00
_space_group_name_H-M_alt 'C m m m'
_space_group_IT_number 65
_space_group_name_Hall '-C 2 2'
loop_
_atom_site_label
_atom_site_fract_x
_atom_site_fract_y
_atom_site_fract_z
P1 0.0000 0.0000 0.0000
Br1 0.0000 0.5000 0.1970
Cl1 0.0000 0.0000 0.5000
```

Results
As for the size of the total moment: 0.2183 μB per atom. As for the uncorrected formation energy: 0.30 eV per atom. The excess energy over the best structure of this formula in the dataset comes out at 769 meV per atom.


Record 13
Below is PBr2Cl after structural relaxation, with properties calculated at the PBE level.

CIF file:
```
data_PBr2Cl
_chemical_formula_sum 'P1 Br2 Cl1'
_cell_length_a 3.9378
_cell_length_b 3.9378
_cell_length_c 7.9194
_cell_angle_alpha 90.00
_cell_angle_beta 90.00
_cell_angle_gamma 90.00
_space_group_name_H-M_alt 'P 4/m m m'
_space_group_IT_number 123
_space_group_name_Hall '-P 4 2'
loop_
_atom_site_label
_atom_site_fract_x
_atom_site_fract_y
_atom_site_fract_z
P1 0.0000 0.0000 0.0000
Br1 0.0000 0.5000 0.5000
Cl1 0.5000 0.5000 0.0000
```

Results
As for the size of the total moment: 0.3836 μB per atom. As for the uncorrected formation energy: 0.61 eV per atom. The excess energy over the best structure of this formula in the dataset comes out at 1078 meV per atom.


Record 14
Below is PBrCl2 after structural relaxation, with properties calculated at the PBE level.

CIF file:
```
data_PBrCl2
_chemical_formula_sum 'P1 Br1 Cl2'
_cell_length_a 3.0178
_cell_length_b 3.3768
_cell_length_c 10.6530
_cell_angle_alpha 90.00
_cell_angle_beta 90.00
_cell_angle_gamma 90.00
_space_group_name_H-M_alt 'P m m m'
_space_group_IT_number 47
loop_
_space_group_symop_operation_xyz
'x,y,z'
'-x,-y,-z'
'-x,-y,z'
'x,y,-z'
'x,-y,-z'
'-x,y,z'
'-x,y,-z'
'x,-y,z'
loop_
_atom_site_label
_atom_site_fract_x
_atom_site_fract_y
_atom_site_fract_z
P1 0.0000 0.0000 0.0000
Br1 0.5000 0.0000 0.5000
Cl1 0.0000 0.5000 0.1574
```

Results
As for the size of the total moment: 0.0000 μB per atom. As for the uncorrected formation energy: -0.02 eV per atom. The excess energy over the best structure of this formula in the dataset comes out at 400 meV per atom.